# BaAcMgTl | Alexandria | GGA-PBE | relaxed
# **V**: 595.7 Å³/cell
# **Raw total energy**: -2.701 eV/atom
# **E_form**: -203.0 meV/atom
# **Magnetization**: 0.00 μB per formula unit
# **Energy relative to the lowest polymorph listed for this composition**: 18 meV per atom
data_BaAcMgTl
_chemical_formula_sum 'Ba4 Ac4 Mg4 Tl4'
_cell_length_a 8.414
_cell_length_b 8.414
_cell_length_c 8.414
_cell_angle_alpha 90.00
_cell_angle_beta 90.00
_cell_angle_gamma 90.00
_symmetry_space_group_name_H-M 'F -4 3 m'
_symmetry_Int_Tables_number 216
_symmetry_space_group_name_Hall 'F -4 2 3'
loop_
_atom_site_label
_atom_site_fract_x
_atom_site_fract_y
_atom_site_fract_z
Ba1 0.000 0.000 0.000
Ac1 0.000 0.000 0.500
Mg1 0.250 0.250 0.750
Tl1 0.250 0.250 0.250